This record from Alexandria via LeMat-Bulk describes a relaxed structure of La2VSbO. The functional is PBE+U.

a = 5.852 Å, b = 5.852 Å, c = 3.763 Å
α = 90.00°, β = 90.00°, γ = 90.00°
Fractional positions:
La1 0.000 0.500 0.000
La2 0.500 0.000 0.000
V1 0.000 0.000 0.000
Sb1 0.500 0.500 0.500
O1 0.000 0.000 0.500

## Properties
Its total magnetization is 1.76 μB/f.u. The space group is P4/mmm. Its total energy is -29.5 eV per formula unit.